The following is a PBE calculation of a relaxed Pr2Ho2Se2S3 crystal, from Alexandria.

Structure (CIF):
```
data_Pr2Ho2Se2S3
_chemical_formula_sum 'Pr4 Ho4 Se4 S6'
_cell_length_a 5.390
_cell_length_b 5.390
_cell_length_c 15.261
_cell_angle_alpha 90.00
_cell_angle_beta 90.00
_cell_angle_gamma 90.00
_space_group_name_H-M_alt 'I 4/m m m'
_space_group_IT_number 139
_space_group_name_Hall '-I 4 2'
loop_
_atom_site_label
_atom_site_type_symbol
_atom_site_fract_x
_atom_site_fract_y
_atom_site_fract_z
Pr1 Pr 0.000 0.000 0.199
Ho1 Ho 0.000 0.500 0.000
Se1 Se 0.000 0.000 0.399
S1 S 0.000 0.000 0.000
S2 S 0.000 0.500 0.250
```

## Properties
Its calculated total energy is -5.888 eV/atom.